# UPSO4 PBE-GGA relaxed
# - Total magnetization: 4.001 μB per cell
# - Formation energy (no corrections): -2.27 eV per atom
data_UPSO4
_chemical_formula_sum 'U4 P4 S4 O16'
_symmetry_space_group_name_H-M 'C 1 2/m 1'
_symmetry_Int_Tables_number 12
_symmetry_space_group_name_Hall '-C 2y'
_cell_length_a 9.588
_cell_length_b 6.972
_cell_length_c 6.527
_cell_angle_alpha 90.00
_cell_angle_beta 105.85
_cell_angle_gamma 90.00
loop_
_atom_site_label
_atom_site_type_symbol
_atom_site_fract_x
_atom_site_fract_y
_atom_site_fract_z
_atom_site_occupancy
U1 U 0.221 0.000 0.144 1
P1 P 0.133 0.500 0.266 1
S1 S 0.020 0.000 0.773 1
O1 O 0.032 0.500 0.777 1
O2 O 0.188 0.324 0.158 1
O3 O 0.208 0.500 0.506 1